(a)
Entry from the Alexandria database: a relaxed structure of TbDy3Se4 (PBE).

ρ = 8326 kg/m³
Magnetic moment = 0.0 μB per cell

Cell lengths 7.0973, 8.0718, 7.0958 Å; angles 90.00, 109.23, 90.00 degrees
Space group P2/c (No. 13)
Asymmetric unit:
1 Tb 0.0000 0.1246 0.2500
2 Dy 0.0000 0.3746 0.7500
3 Dy 0.5000 0.1247 0.7500
4 Dy 0.5000 0.3748 0.2500
5 Se 0.2514 0.1257 0.0000
6 Se 0.2505 0.3757 0.5006



(b)
Entry from the Alexandria database: a relaxed structure of TbDy3Se4 (PBE).

ρ = 8314 kg/m³
Magnetic moment = 0.0 μB per cell

Cell lengths 5.7709, 5.7709, 5.7709 Å; angles 90.00, 90.00, 90.00 degrees
Space group Pm-3m (No. 221)
Asymmetric unit:
1 Tb 0.0000 0.0000 0.0000
2 Dy 0.0000 0.5000 0.5000
3 Se 0.0000 0.0000 0.5000
4 Se 0.5000 0.5000 0.5000



The relative energies come out as (a) 0; (b) 13, with values in meV/atom.



(a)
Entry from the Alexandria database: a relaxed structure of Dy3Te2Se (PBE).

ρ = 7532 kg/m³
Magnetic moment = 0.0 μB per cell

Cell lengths 11.1889, 8.4035, 7.7062 Å; angles 90.00, 90.00, 90.00 degrees
Space group Cmcm (No. 63)
Asymmetric unit:
1 Dy 0.0000 0.0599 0.2500
2 Dy 0.1829 0.5000 0.0000
3 Te 0.1828 0.2184 0.7500
4 Se 0.0000 0.4002 0.2500



(b)
Entry from the Alexandria database: a relaxed structure of Dy3Te2Se (PBE).

ρ = 8263 kg/m³
Magnetic moment = 0.0 μB per cell

Cell lengths 4.2354, 5.9883, 13.0201 Å; angles 90.00, 90.00, 90.00 degrees
Space group Immm (No. 71)
Asymmetric unit:
1 Dy 0.0000 0.0000 0.0000
2 Dy 0.0000 0.0000 0.3574
3 Te 0.0000 0.5000 0.3248
4 Se 0.0000 0.5000 0.0000



The relative energies come out as (a) 239; (b) 0, with values in meV/atom.